[1]
# Tb3Dy12Y

Tb3Dy12Y after structural relaxation (PBE, Alexandria).

The total energy comes out at -75.3 eV/f.u.

The space group is P4/mmm (No. 123) and the conventional cell measures 5.019, 5.019 and 20.058 Å, with angles of 90.00, 90.00 and 90.00 degrees. The asymmetric unit holds Tb at (0.000, 0.000, 0.000), Tb at (0.000, 0.000, 0.250), Dy at (0.000, 0.500, 0.125), Dy at (0.000, 0.500, 0.375), Dy at (0.500, 0.500, 0.000), Dy at (0.500, 0.500, 0.250), Dy at (0.500, 0.500, 0.500) and Y at (0.000, 0.000, 0.500).


[2]
# Nd5SmTm4

Nd5SmTm4 after structural relaxation (PBE, Alexandria).

The total energy comes out at -45.0 eV/f.u.

The space group is C2/m (No. 12) and the conventional cell measures 18.196, 3.579 and 10.523 Å, with angles of 90.00, 96.46 and 90.00 degrees. The asymmetric unit holds Nd at (0.000, 0.000, 0.000), Nd at (0.142, 0.500, 0.729), Nd at (0.189, 0.500, 0.098), Sm at (0.000, 0.000, 0.500), Tm at (0.046, 0.500, 0.263) and Tm at (0.183, 0.000, 0.414).


[3]
# BeAlV3

BeAlV3 after structural relaxation (PBE, Alexandria).

The total energy comes out at -32.9 eV/f.u.

The space group is Pm-3m (No. 221) and the conventional cell measures 4.116, 4.116 and 4.116 Å, with angles of 90.00, 90.00 and 90.00 degrees. The asymmetric unit holds Be at (0.000, 0.000, 0.000), Al at (0.500, 0.500, 0.500) and V at (0.000, 0.000, 0.500).


[4]
# Er2BePt

Er2BePt after structural relaxation (PBE, Alexandria).

The total energy comes out at -21.2 eV/f.u.

The space group is Fm-3m (No. 225) and the conventional cell measures 6.871, 6.871 and 6.871 Å, with angles of 90.00, 90.00 and 90.00 degrees. The asymmetric unit holds Er at (0.250, 0.250, 0.250), Be at (0.000, 0.000, 0.000) and Pt at (0.000, 0.000, 0.500).